Entry one
GaTeO2: relaxed, PBE.

Cell: 3.1067 3.1067 21.2675 Å, 90.00 90.00 120.00°
Positions (direct):
Ga (0.0000, 0.0000, 0.0000)
Ga (0.3333, 0.6667, 0.6667)
Ga (0.6667, 0.3333, 0.3333)
Te (0.0000, 0.0000, 0.5000)
Te (0.3333, 0.6667, 0.1667)
Te (0.6667, 0.3333, 0.8333)
O (0.0000, 0.0000, 0.0888)
O (0.0000, 0.0000, 0.9112)
O (0.3333, 0.6667, 0.5779)
O (0.3333, 0.6667, 0.7554)
O (0.6667, 0.3333, 0.2446)
O (0.6667, 0.3333, 0.4221)

Properties
The calculation puts the volume at 14.81 Å³/atom. The calculation puts the mass density at 6.4 g/cm³. The total magnetic moment is 0.00 μB per formula unit.

Entry two
GaTeO2: relaxed, PBE.

Cell: 5.3756 5.3756 8.8162 Å, 90.00 90.00 90.00°
Positions (direct):
Ga (0.0000, 0.0000, 0.0000)
Ga (0.0000, 0.5000, 0.2500)
Ga (0.5000, 0.0000, 0.7500)
Ga (0.5000, 0.5000, 0.5000)
Te (0.0000, 0.0000, 0.5000)
Te (0.0000, 0.5000, 0.7500)
Te (0.5000, 0.0000, 0.2500)
Te (0.5000, 0.5000, 0.0000)
O (0.1252, 0.2500, 0.1250)
O (0.2500, 0.6252, 0.3750)
O (0.2500, 0.8748, 0.8750)
O (0.3748, 0.2500, 0.6250)
O (0.6252, 0.7500, 0.6250)
O (0.7500, 0.1252, 0.8750)
O (0.7500, 0.3748, 0.3750)
O (0.8748, 0.7500, 0.1250)

Properties
The calculation puts the volume at 15.92 Å³/atom. The calculation puts the mass density at 6.0 g/cm³. The total magnetic moment is 0.00 μB per formula unit.

Entry three
GaTeO2: relaxed, PBE.

Cell: 3.1427 3.1427 19.6802 Å, 90.00 90.00 120.00°
Positions (direct):
Ga (0.0000, 0.0000, 0.0000)
Ga (0.3333, 0.6667, 0.6667)
Ga (0.6667, 0.3333, 0.3333)
Te (0.0000, 0.0000, 0.5000)
Te (0.3333, 0.6667, 0.1667)
Te (0.6667, 0.3333, 0.8333)
O (0.0000, 0.0000, 0.3837)
O (0.0000, 0.0000, 0.6163)
O (0.3333, 0.6667, 0.0504)
O (0.3333, 0.6667, 0.2830)
O (0.6667, 0.3333, 0.7170)
O (0.6667, 0.3333, 0.9496)

Properties
The calculation puts the volume at 14.03 Å³/atom. The calculation puts the mass density at 6.8 g/cm³. The total magnetic moment is 0.00 μB per formula unit.

Entry four
GaTeO2: relaxed, PBE.

Cell: 6.0088 6.0088 6.0088 Å, 90.00 90.00 90.00°
Positions (direct):
Ga (0.0000, 0.0000, 0.0000)
Ga (0.0000, 0.5000, 0.5000)
Ga (0.5000, 0.0000, 0.5000)
Ga (0.5000, 0.5000, 0.0000)
Te (0.0000, 0.0000, 0.5000)
Te (0.0000, 0.5000, 0.0000)
Te (0.5000, 0.0000, 0.0000)
Te (0.5000, 0.5000, 0.5000)
O (0.2500, 0.2500, 0.2500)
O (0.2500, 0.2500, 0.7500)
O (0.2500, 0.7500, 0.2500)
O (0.2500, 0.7500, 0.7500)
O (0.7500, 0.2500, 0.2500)
O (0.7500, 0.2500, 0.7500)
O (0.7500, 0.7500, 0.2500)
O (0.7500, 0.7500, 0.7500)

Properties
The calculation puts the volume at 13.56 Å³/atom. The calculation puts the mass density at 7.0 g/cm³. The total magnetic moment is 0.00 μB per formula unit.

entry three (23.7 kJ/mol of atoms below the next structure)

Entry one
Ga2Te2O: relaxed, PBE.

Cell: 6.1513 6.1513 6.0907 Å, 90.00 90.00 90.00°
Positions (direct):
Ga (0.0000, 0.0000, 0.2074)
Ga (0.0000, 0.0000, 0.7926)
Ga (0.5000, 0.5000, 0.2926)
Ga (0.5000, 0.5000, 0.7074)
Te (0.0000, 0.5000, 0.2500)
Te (0.0000, 0.5000, 0.7500)
Te (0.5000, 0.0000, 0.2500)
Te (0.5000, 0.0000, 0.7500)
O (0.0000, 0.0000, 0.5000)
O (0.5000, 0.5000, 0.0000)

Properties
The calculation puts the volume at 23.05 Å³/atom. The calculation puts the mass density at 5.9 g/cm³. The total magnetic moment is 0.00 μB per formula unit.

Entry two
Ga2Te2O: relaxed, PBE.

Cell: 4.0379 4.0379 13.8614 Å, 90.00 90.00 90.00°
Positions (direct):
Ga (0.0000, 0.5000, 0.2500)
Ga (0.0000, 0.5000, 0.7500)
Ga (0.5000, 0.0000, 0.2500)
Ga (0.5000, 0.0000, 0.7500)
Te (0.0000, 0.0000, 0.1112)
Te (0.0000, 0.0000, 0.8888)
Te (0.5000, 0.5000, 0.3888)
Te (0.5000, 0.5000, 0.6112)
O (0.0000, 0.0000, 0.5000)
O (0.5000, 0.5000, 0.0000)

Properties
The calculation puts the volume at 22.60 Å³/atom. The calculation puts the mass density at 6.0 g/cm³. The total magnetic moment is 0.00 μB per formula unit.

entry one (70.3 kJ/mol of atoms below the next structure)

Entry one
Ga2Te2O: relaxed, PBE.

Cell: 7.1400 7.1400 4.4024 Å, 90.00 90.00 90.00°
Positions (direct):
Ga (0.1237, 0.3763, 0.0000)
Ga (0.3763, 0.8763, 0.0000)
Ga (0.6237, 0.1237, 0.0000)
Ga (0.8763, 0.6237, 0.0000)
Te (0.2161, 0.7161, 0.5000)
Te (0.2839, 0.2161, 0.5000)
Te (0.7161, 0.7839, 0.5000)
Te (0.7839, 0.2839, 0.5000)
O (0.0000, 0.0000, 0.5000)
O (0.5000, 0.5000, 0.5000)

Properties
The calculation puts the volume at 22.44 Å³/atom. The calculation puts the mass density at 6.1 g/cm³. The total magnetic moment is 0.00 μB per formula unit.

Entry two
Ga2Te2O: relaxed, PBE.

Cell: 6.0212 6.0212 5.8814 Å, 90.00 90.00 90.00°
Positions (direct):
Ga (0.1676, 0.3324, 0.0000)
Ga (0.3324, 0.8324, 0.0000)
Ga (0.6676, 0.1676, 0.0000)
Ga (0.8324, 0.6676, 0.0000)
Te (0.2376, 0.2624, 0.5000)
Te (0.2624, 0.7624, 0.5000)
Te (0.7376, 0.2376, 0.5000)
Te (0.7624, 0.7376, 0.5000)
O (0.0000, 0.0000, 0.0000)
O (0.5000, 0.5000, 0.0000)

Properties
The calculation puts the volume at 21.32 Å³/atom. The calculation puts the mass density at 6.4 g/cm³. The total magnetic moment is 0.00 μB per formula unit.

entry two (34.9 kJ/mol of atoms below the next structure)

Entry one
Ga3TeO: relaxed, PBE.

Cell: 5.7193 5.7193 5.7193 Å, 90.00 90.00 90.00°
Positions (direct):
Ga (0.0000, 0.0000, 0.5000)
Ga (0.0000, 0.5000, 0.0000)
Ga (0.5000, 0.0000, 0.0000)
Te (0.0000, 0.0000, 0.0000)
O (0.5000, 0.5000, 0.5000)

Properties
The calculation puts the volume at 37.42 Å³/atom. The calculation puts the mass density at 3.1 g/cm³. The total magnetic moment is 0.00 μB per formula unit.

Entry two
Ga3TeO: relaxed, PBE.

Cell: 4.6500 4.6500 4.6500 Å, 90.00 90.00 90.00°
Positions (direct):
Ga (0.0000, 0.0000, 0.5000)
Ga (0.0000, 0.5000, 0.0000)
Ga (0.5000, 0.0000, 0.0000)
Te (0.5000, 0.5000, 0.5000)
O (0.0000, 0.0000, 0.0000)

Properties
The calculation puts the volume at 20.11 Å³/atom. The calculation puts the mass density at 5.8 g/cm³. The total magnetic moment is 0.00 μB per formula unit.

entry two (112.6 kJ/mol of atoms below the next structure)